(1)
Computed, not measured: a geometry-optimized La4TcBr2O structure at the PBE-GGA level of DFT.

```
La4TcBr2O
1.0
6.753 0.000 0.000
0.000 4.067 0.000
-2.184 0.000 7.819
La Tc Br O
4 1 2 1
direct
0.229 0.000 0.306 La
0.231 0.500 0.687 La
0.769 0.500 0.313 La
0.771 0.000 0.694 La
0.500 0.500 0.500 Tc
0.000 0.500 0.000 Br
0.500 0.000 0.000 Br
0.000 0.000 0.500 O
```

**Formation energy from raw total energies**: -1339.3 meV per atom
**Symmetry**: P2/m (10)

=====

(2)
Computed, not measured: a geometry-optimized La6Tc2Br3O structure at the PBE-GGA level of DFT.

```
La6Tc2Br3O
1.0
3.508 -5.964 0.000
3.508 5.964 0.000
-2.193 0.000 7.943
La Tc Br O
6 2 3 1
direct
0.081 0.401 0.686 La
0.212 0.212 0.296 La
0.401 0.081 0.686 La
0.599 0.919 0.314 La
0.788 0.788 0.704 La
0.919 0.599 0.314 La
0.366 0.634 0.500 Tc
0.634 0.366 0.500 Tc
0.180 0.820 0.000 Br
0.500 0.500 0.000 Br
0.820 0.180 0.000 Br
0.000 0.000 0.500 O
```

**Formation energy from raw total energies**: -1150.5 meV per atom
**Symmetry**: C2/m (12)

=====

(3)
Computed, not measured: a geometry-optimized LaTeBrO4 structure at the PBE-GGA level of DFT.

```
LaTeBrO4
1.0
5.503 -3.803 0.000
5.503 3.803 0.000
-2.061 0.000 6.982
La Te Br O
2 2 2 8
direct
0.230 0.230 0.132 La
0.770 0.770 0.868 La
0.366 0.366 0.738 Te
0.634 0.634 0.262 Te
0.013 0.013 0.757 Br
0.987 0.987 0.243 Br
0.119 0.485 0.853 O
0.299 0.299 0.478 O
0.461 0.461 0.197 O
0.485 0.119 0.853 O
0.515 0.881 0.147 O
0.539 0.539 0.803 O
0.701 0.701 0.522 O
0.881 0.515 0.147 O
```

**Formation energy from raw total energies**: -1733.8 meV per atom
**Symmetry**: C2/m (12)

=====

(4)
Computed, not measured: a geometry-optimized La2TeBrO structure at the PBE-GGA level of DFT.

```
La2TeBrO
1.0
5.989 0.000 0.000
0.000 5.989 0.000
0.000 0.000 5.595
La Te Br O
2 1 1 1
direct
0.000 0.500 0.000 La
0.500 0.000 0.000 La
0.000 0.000 0.000 Te
0.000 0.000 0.500 Br
0.500 0.500 0.500 O
```

**Formation energy from raw total energies**: -26.9 meV per atom
**Symmetry**: P4/mmm (123)

=====

(5)
Computed, not measured: a geometry-optimized LaTlBrO structure at the PBE-GGA level of DFT.

```
LaTlBrO
1.0
4.183 0.000 0.000
0.000 4.183 0.000
0.000 0.000 14.568
La Tl Br O
2 2 2 2
direct
0.250 0.250 0.081 La
0.750 0.750 0.919 La
0.250 0.750 0.500 Tl
0.750 0.250 0.500 Tl
0.250 0.250 0.808 Br
0.750 0.750 0.192 Br
0.250 0.750 0.000 O
0.750 0.250 0.000 O
```

**Formation energy from raw total energies**: -2104.5 meV per atom
**Symmetry**: P4/nmm (129)

=====

(6)
Computed, not measured: a geometry-optimized LaTlBrO2 structure at the PBE-GGA level of DFT.

```
LaTlBrO2
1.0
7.456 0.000 0.000
0.000 3.780 0.000
-0.158 0.000 7.710
La Tl Br O
2 2 2 4
direct
0.108 0.250 0.315 La
0.892 0.750 0.685 La
0.390 0.250 0.680 Tl
0.610 0.750 0.320 Tl
0.230 0.750 0.991 Br
0.770 0.250 0.009 Br
0.070 0.250 0.626 O
0.319 0.750 0.427 O
0.681 0.250 0.573 O
0.930 0.750 0.374 O
```

**Formation energy from raw total energies**: -1864.4 meV per atom
**Symmetry**: P2_1/m (11)

=====

(7)
Computed, not measured: a geometry-optimized LaOs3Br structure at the PBE-GGA level of DFT.

```
LaOs3Br
1.0
4.680 0.000 0.000
0.000 4.680 0.000
0.000 0.000 4.680
La Os Br
1 3 1
direct
0.000 0.000 0.000 La
0.000 0.500 0.500 Os
0.500 0.000 0.500 Os
0.500 0.500 0.000 Os
0.500 0.500 0.500 Br
```

**Formation energy from raw total energies**: 1547.6 meV per atom
**Symmetry**: Pm-3m (221)
**ΔE to the lowest computed polymorph**: 0.000 eV/atom

=====

(8)
Computed, not measured: a geometry-optimized LaOs2Br4 structure at the PBE-GGA level of DFT.

```
LaOs2Br4
1.0
-2.895 2.895 6.633
2.895 -2.895 6.633
2.895 2.895 -6.633
La Os Br
1 2 4
direct
0.000 0.000 0.000 La
0.417 0.417 0.000 Os
0.583 0.583 0.000 Os
0.000 0.500 0.500 Br
0.223 0.223 0.000 Br
0.500 0.000 0.500 Br
0.777 0.777 0.000 Br
```

**Formation energy from raw total energies**: 247.0 meV per atom
**Symmetry**: I4/mmm (139)

=====

(9)
Computed, not measured: a geometry-optimized LaOs2Br structure at the PBE-GGA level of DFT.

```
LaOs2Br
1.0
3.854 0.000 0.000
0.000 3.854 0.000
0.000 0.000 5.772
La Os Br
1 2 1
direct
0.000 0.000 0.000 La
0.000 0.500 0.500 Os
0.500 0.000 0.500 Os
0.500 0.500 0.000 Br
```

**Formation energy from raw total energies**: 551.3 meV per atom
**Symmetry**: P4/mmm (123)
**ΔE to the lowest computed polymorph**: 0.678 eV/atom

=====

(10)
Computed, not measured: a geometry-optimized La8Os3Br4 structure at the PBE-GGA level of DFT.

```
La8Os3Br4
1.0
4.310 2.488 8.217
-4.310 2.488 8.217
0.000 -4.976 8.217
La Os Br
8 3 4
direct
0.201 0.743 0.743 La
0.227 0.227 0.227 La
0.257 0.257 0.799 La
0.257 0.799 0.257 La
0.743 0.201 0.743 La
0.743 0.743 0.201 La
0.773 0.773 0.773 La
0.799 0.257 0.257 La
0.000 0.000 0.500 Os
0.000 0.500 0.000 Os
0.500 0.000 0.000 Os
0.000 0.000 0.000 Br
0.357 0.357 0.357 Br
0.500 0.500 0.500 Br
0.643 0.643 0.643 Br
```

**Formation energy from raw total energies**: -796.5 meV per atom
**Symmetry**: R-3m (166)

=====

(11)
Computed, not measured: a geometry-optimized La5Os2Br2 structure at the PBE-GGA level of DFT.

```
La5Os2Br2
1.0
8.085 -3.968 0.000
8.085 3.968 0.000
0.000 0.000 8.328
La Os Br
10 4 4
direct
0.000 0.000 0.000 La
0.040 0.736 0.660 La
0.236 0.540 0.160 La
0.264 0.960 0.660 La
0.460 0.764 0.160 La
0.500 0.500 0.500 La
0.540 0.236 0.840 La
0.736 0.040 0.340 La
0.764 0.460 0.840 La
0.960 0.264 0.340 La
0.146 0.854 0.364 Os
0.354 0.646 0.864 Os
0.646 0.354 0.136 Os
0.854 0.146 0.636 Os
0.204 0.204 0.000 Br
0.296 0.296 0.500 Br
0.704 0.704 0.500 Br
0.796 0.796 0.000 Br
```

**Formation energy from raw total energies**: -695.0 meV per atom
**Symmetry**: Cmce (64)

=====

(12)
Computed, not measured: a geometry-optimized LaOs2Br structure at the PBE-GGA level of DFT.

```
LaOs2Br
1.0
3.460 0.000 0.000
0.000 3.460 0.000
0.000 0.000 8.302
La Os Br
1 2 1
direct
0.000 0.000 0.000 La
0.000 0.000 0.349 Os
0.500 0.500 0.260 Os
0.500 0.500 0.769 Br
```

**Formation energy from raw total energies**: 79.9 meV per atom
**Symmetry**: P4mm (99)
**ΔE to the lowest computed polymorph**: 0.207 eV/atom

=====

(13)
Computed, not measured: a geometry-optimized La4OsBr5 structure at the PBE-GGA level of DFT.

```
La4OsBr5
1.0
9.474 -2.162 0.000
9.474 2.162 0.000
-2.444 0.000 8.717
La Os Br
4 1 5
direct
0.001 0.001 0.225 La
0.354 0.354 0.915 La
0.646 0.646 0.085 La
0.999 0.999 0.775 La
0.500 0.500 0.000 Os
0.170 0.170 0.337 Br
0.171 0.171 0.850 Br
0.500 0.500 0.500 Br
0.829 0.829 0.150 Br
0.830 0.830 0.663 Br
```

**Formation energy from raw total energies**: -1474.5 meV per atom
**Symmetry**: C2/m (12)

=====

(14)
Computed, not measured: a geometry-optimized LaOs2Br structure at the PBE-GGA level of DFT.

```
LaOs2Br
1.0
1.596 -2.642 0.000
1.596 2.642 0.000
0.000 0.000 9.110
La Os Br
1 2 1
direct
0.000 0.000 0.000 La
0.500 0.500 0.252 Os
0.500 0.500 0.748 Os
0.000 0.000 0.500 Br
```

**Formation energy from raw total energies**: 1112.3 meV per atom
**Symmetry**: Cmmm (65)
**ΔE to the lowest computed polymorph**: 1.239 eV/atom

=====

(15)
Computed, not measured: a geometry-optimized La5OsBr5 structure at the PBE-GGA level of DFT.

```
La5OsBr5
1.0
6.686 -3.077 0.000
6.686 3.077 0.000
-3.076 0.000 8.445
La Os Br
5 1 5
direct
0.000 0.000 0.000 La
0.333 0.333 0.136 La
0.355 0.355 0.711 La
0.645 0.645 0.289 La
0.667 0.667 0.864 La
0.500 0.500 0.000 Os
0.147 0.147 0.790 Br
0.174 0.174 0.355 Br
0.500 0.500 0.500 Br
0.826 0.826 0.645 Br
0.853 0.853 0.210 Br
```

**Formation energy from raw total energies**: -1293.7 meV per atom
**Symmetry**: C2/m (12)

=====

(16)
Computed, not measured: a geometry-optimized LaOs2Br structure at the PBE-GGA level of DFT.

```
LaOs2Br
1.0
3.355 0.000 0.000
0.000 5.438 0.000
-0.009 0.000 4.627
La Os Br
1 2 1
direct
0.000 0.000 0.000 La
0.358 0.500 0.244 Os
0.642 0.500 0.756 Os
0.500 0.000 0.500 Br
```

**Formation energy from raw total energies**: 482.4 meV per atom
**Symmetry**: P2/m (10)
**ΔE to the lowest computed polymorph**: 0.609 eV/atom

=====

(17)
Computed, not measured: a geometry-optimized LaOs2Br2 structure at the PBE-GGA level of DFT.

```
LaOs2Br2
1.0
-2.213 2.213 5.817
2.213 -2.213 5.817
2.213 2.213 -5.817
La Os Br
1 2 2
direct
0.000 0.000 0.000 La
0.403 0.403 0.000 Os
0.597 0.597 0.000 Os
0.250 0.750 0.500 Br
0.750 0.250 0.500 Br
```

**Formation energy from raw total energies**: 287.7 meV per atom
**Symmetry**: I4/mmm (139)
**ΔE to the lowest computed polymorph**: 0.000 eV/atom

=====

(18)
Computed, not measured: a geometry-optimized LaOs4Br structure at the PBE-GGA level of DFT.

```
LaOs4Br
1.0
0.000 3.832 3.832
3.832 0.000 3.832
3.832 3.832 0.000
La Os Br
1 4 1
direct
0.000 0.000 0.000 La
0.126 0.625 0.625 Os
0.625 0.126 0.625 Os
0.625 0.625 0.126 Os
0.625 0.625 0.625 Os
0.250 0.250 0.250 Br
```

**Formation energy from raw total energies**: 756.4 meV per atom
**Symmetry**: F-43m (216)

=====

(19)
Computed, not measured: a geometry-optimized LaOs2Br structure at the PBE-GGA level of DFT.

```
LaOs2Br
1.0
1.511 0.872 9.540
-1.511 0.872 9.540
0.000 -1.744 9.540
La Os Br
1 2 1
direct
0.000 0.000 0.000 La
0.241 0.241 0.241 Os
0.759 0.759 0.759 Os
0.500 0.500 0.500 Br
```

**Formation energy from raw total energies**: 1156.5 meV per atom
**Symmetry**: R-3m (166)
**ΔE to the lowest computed polymorph**: 1.283 eV/atom

=====

(20)
Computed, not measured: a geometry-optimized LaOs2Br structure at the PBE-GGA level of DFT.

```
LaOs2Br
1.0
-1.929 1.929 5.738
1.929 -1.929 5.738
1.929 1.929 -5.738
La Os Br
1 2 1
direct
0.000 0.000 0.000 La
0.250 0.750 0.500 Os
0.750 0.250 0.500 Os
0.500 0.500 0.000 Br
```

**Formation energy from raw total energies**: 538.5 meV per atom
**Symmetry**: I4/mmm (139)
**ΔE to the lowest computed polymorph**: 0.665 eV/atom

=====

(21)
Computed, not measured: a geometry-optimized LaOs2Br structure at the PBE-GGA level of DFT.

```
LaOs2Br
1.0
0.000 3.413 3.413
3.413 0.000 3.413
3.413 3.413 0.000
La Os Br
1 2 1
direct
0.000 0.000 0.000 La
0.250 0.250 0.250 Os
0.750 0.750 0.750 Os
0.500 0.500 0.500 Br
```

**Formation energy from raw total energies**: 1277.0 meV per atom
**Symmetry**: Fm-3m (225)
**ΔE to the lowest computed polymorph**: 1.404 eV/atom

=====

(22)
Computed, not measured: a geometry-optimized LaOsBr3 structure at the PBE-GGA level of DFT.

```
LaOsBr3
1.0
5.877 0.000 0.000
0.000 5.877 0.000
0.000 0.000 5.877
La Os Br
1 1 3
direct
0.000 0.000 0.000 La
0.500 0.500 0.500 Os
0.000 0.000 0.500 Br
0.000 0.500 0.000 Br
0.500 0.000 0.000 Br
```

**Formation energy from raw total energies**: 136.0 meV per atom
**Symmetry**: Pm-3m (221)
**ΔE to the lowest computed polymorph**: 0.155 eV/atom

=====

(23)
Computed, not measured: a geometry-optimized LaOs3Br structure at the PBE-GGA level of DFT.

```
LaOs3Br
1.0
5.062 0.000 0.000
0.000 5.062 0.000
0.000 0.000 5.062
La Os Br
1 3 1
direct
0.000 0.000 0.000 La
0.000 0.000 0.500 Os
0.000 0.500 0.000 Os
0.500 0.000 0.000 Os
0.500 0.500 0.500 Br
```

**Formation energy from raw total energies**: 2983.0 meV per atom
**Symmetry**: Pm-3m (221)
**ΔE to the lowest computed polymorph**: 1.435 eV/atom

=====

(24)
Computed, not measured: a geometry-optimized La3OsBr2 structure at the PBE-GGA level of DFT.

```
La3OsBr2
1.0
-2.052 3.071 7.279
2.052 -3.071 7.279
2.052 3.071 -7.279
La Os Br
3 1 2
direct
0.000 0.000 0.000 La
0.372 0.372 0.000 La
0.628 0.628 0.000 La
0.500 0.000 0.500 Os
0.180 0.680 0.500 Br
0.820 0.320 0.500 Br
```

**Formation energy from raw total energies**: -1019.9 meV per atom
**Symmetry**: Immm (71)

=====

(25)
Computed, not measured: a geometry-optimized LaOs2Br structure at the PBE-GGA level of DFT.

```
LaOs2Br
1.0
-2.075 2.075 4.556
2.075 -2.075 4.556
2.075 2.075 -4.556
La Os Br
1 2 1
direct
0.000 0.000 0.000 La
0.250 0.750 0.500 Os
0.500 0.500 0.000 Os
0.750 0.250 0.500 Br
```

**Formation energy from raw total energies**: 949.7 meV per atom
**Symmetry**: I-4m2 (119)
**ΔE to the lowest computed polymorph**: 1.076 eV/atom

=====

(26)
Computed, not measured: a geometry-optimized LaOs2Br structure at the PBE-GGA level of DFT.

```
LaOs2Br
1.0
5.585 -1.979 0.000
5.585 1.979 0.000
-0.011 0.000 4.647
La Os Br
1 2 1
direct
0.000 0.000 0.000 La
0.263 0.263 0.129 Os
0.737 0.737 0.871 Os
0.500 0.500 0.500 Br
```

**Formation energy from raw total energies**: 288.3 meV per atom
**Symmetry**: C2/m (12)
**ΔE to the lowest computed polymorph**: 0.415 eV/atom